DFT (PBE) results for a geometry-optimized Hg2PtSe structure.

Lattice parameters (Å, degrees): 3.738 3.738 5.812 90.00 90.00 90.00
Sites, in units of the cell vectors:
Hg 0.000 0.000 0.243
Hg 0.000 0.000 0.757
Pt 0.500 0.500 0.000
Se 0.500 0.500 0.500

Polymorph energy (0 for the lowest one)   269 meV per atom
E   -2.312 eV/atom
Formation energy (no corrections)   21.2 kJ/mol of atoms
Volume   81 Å³/f.u.